{
  "formula": "LiPm3Pd4",
  "functional": "PBE",
  "state": "optimized geometry",
  "vol_a3_per_fu": 178,
  "ef_ev_per_fu": -4.8,
  "cell": [[-0.442, -0.426, 4.355], [-1.171, -3.683, -0.480], [11.254, 0.670, -1.018]],
  "species": ["Pm", "Pd", "Pd", "Pm", "Pm", "Pd", "Li", "Pd"],
  "fractional_positions": [[0.164, 0.327, 0.327], [0.714, 0.928, 0.428], [0.587, 0.674, 0.174], [0.000, 0.500, 0.000], [0.836, 0.673, 0.673], [0.413, 0.326, 0.826], [0.500, 0.000, 0.000], [0.286, 0.072, 0.572]]
}